# 1
A relaxed CeNd3Ho2Se6 crystal, computed with PBE.

Cell and atoms, written as extended XYZ:
```
12
Lattice="7.203 -0.011 -0.005 -3.609 6.234 -0.005 -1.204 -2.084 6.849" Properties=species:S:1:pos:R:3 pbc="T T T"
Se 0.023 0.039 5.228
Se 2.451 -0.006 1.635
Ce 0.000 0.000 0.000
Ho 3.606 2.067 -0.005
Se -0.060 4.144 5.204
Se 2.368 4.099 1.611
Se -1.229 2.120 1.635
Ho -0.012 4.156 -0.005
Nd 4.824 -0.027 3.419
Nd 1.195 2.069 3.419
Nd -2.434 4.165 3.419
Se 3.620 2.019 5.204
```

Properties
Space-group type   C2/m
ΔE_f (raw)   -1.802 eV/atom
Fermi-level density of states   0.8831 states/eV/atom
M_tot   0.82 μB per formula unit

---

# 2
A relaxed LaHfNb2Tc crystal, computed with PBE.

Cell and atoms, written as extended XYZ:
```
5
Lattice="-2.634 -3.802 1.258 4.016 -2.012 2.327 -1.249 2.210 4.066" Properties=species:S:1:pos:R:3 pbc="T T T"
Hf 2.008 -1.006 1.164
Tc 0.066 -1.802 3.825
La 0.000 0.000 0.000
Nb -0.625 1.105 2.033
Nb -1.317 -1.901 0.629
```

Properties
Space-group type   P4/mmm
Calculated formation energy   2.091 eV per atom
Fermi-level density of states   1.5814 states/eV/atom
M_tot   0.00 μB per formula unit

---

# 3
A relaxed Cs2RbWBr6 crystal, computed with PBE.

Cell and atoms, written as extended XYZ:
```
20
Lattice="7.884 0.000 0.000 3.942 6.828 0.000 3.942 2.276 16.108" Properties=species:S:1:pos:R:3 pbc="T T T"
Br 9.994 3.334 14.569
Cs 3.942 2.276 9.354
Br 7.884 6.695 6.537
Br 9.741 5.624 9.571
Br 6.028 3.480 6.537
Br 7.884 2.409 9.571
Rb 7.884 4.552 3.909
Br 7.884 2.116 1.539
W 7.884 4.552 8.054
W 0.000 0.000 0.000
Cs 11.826 6.828 14.861
Cs 3.942 2.276 1.247
Br 7.884 6.988 14.569
Cs 11.826 6.828 6.754
Br 6.028 5.624 9.571
Br 9.741 3.480 6.537
Br 5.774 3.334 14.569
Rb 7.884 4.552 12.199
Br 9.994 5.770 1.539
Br 5.774 5.770 1.539
```

Properties
Space-group type   R-3m
ΔE_f (raw)   -1.185 eV/atom
Energy above the lowest structure with this stoichiometry   0.000 eV/atom
M_tot   3.00 μB per formula unit

---

# 4
A relaxed AcNdSm2 crystal, computed with PBE.

Cell and atoms, written as extended XYZ:
```
4
Lattice="-3.034 0.982 -1.977 -3.127 -2.063 0.212 -5.897 6.414 8.673" Properties=species:S:1:pos:R:3 pbc="T T T"
Sm -4.969 4.779 6.437
Sm -2.982 1.276 1.649
Ac -6.027 2.664 3.450
Nd -4.108 -0.719 -1.175
```

Properties
Space-group type   R3m
Calculated formation energy   0.042 eV per atom
Fermi-level density of states   1.4379 states/eV/atom
Energy above the lowest structure with this stoichiometry   0.012 eV/atom
M_tot   0.00 μB per formula unit